Compound: NaVZn
Source: Alexandria via LeMat-Bulk
Functional: GGA-PBE
Structure: relaxed

Formation enthalpy at 0 K in meV per atom: 401
Calculated volume in Å³ per cell: 220
Spin magnetization in Bohr magnetons per cell: 1.37

Lattice parameters (Å, degrees): 8.570 2.783 9.232 90.00 90.00 90.00
Last column: magnetic moment on the atom in μB.
Atoms (fractional coordinates):
Zn: 0.745 0.250 0.365  0.00
Zn: 0.245 0.250 0.135  0.00
Zn: 0.755 0.750 0.865  0.00
Zn: 0.255 0.750 0.635  0.00
Na: 0.568 0.250 0.650  0.00
Na: 0.068 0.250 0.850  0.00
Na: 0.932 0.750 0.150  0.00
Na: 0.432 0.750 0.350  0.00
V: 0.088 0.250 0.440  0.32
V: 0.412 0.750 0.940  0.32
V: 0.912 0.750 0.560  0.32
V: 0.588 0.250 0.060  0.32

***

Compound: TiZnAu2
Source: Alexandria via LeMat-Bulk
Functional: GGA-PBE
Structure: relaxed

Formation enthalpy at 0 K in meV per atom: -164
Calculated volume in Å³ per cell: 68
Spin magnetization in Bohr magnetons per cell: 0.00

Lattice parameters (Å, degrees): 2.969 2.969 9.102 80.61 80.61 60.00
Atoms (fractional coordinates):
Au: 0.251 0.251 0.248
Au: 0.083 0.083 0.752
Zn: 0.667 0.667 0.999
Ti: 0.500 0.500 0.501